(1)
Here is Ti3SbH after structural relaxation from Alexandria. Energies are from PBE-GGA.

a b c (Å): 5.3409 5.3409 5.4845
angles (deg): 90.00 90.00 80.57
Fractional positions:
Ti (0.8656, 0.5278, 0.2500)
Ti (0.4722, 0.1344, 0.2500)
H (0.8127, 0.1873, 0.2500)
Ti (0.0000, 0.0000, 0.5000)
Ti (0.5278, 0.8656, 0.7500)
Sb (0.3427, 0.6573, 0.2500)
H (0.1873, 0.8127, 0.7500)
Ti (0.0000, 0.0000, 0.0000)
Sb (0.6573, 0.3427, 0.7500)
Ti (0.1344, 0.4722, 0.7500)

Calculated values
space group = No. 63
excess energy over the best structure of this formula in the dataset = 106.3 meV per atom
E_tot = -6.591 eV per atom


(2)
Here is Ti6SbH2 after structural relaxation from Alexandria. Energies are from PBE-GGA.

a b c (Å): 6.1094 6.9307 6.9307
angles (deg): 83.20 74.13 74.13
Fractional positions:
Ti (0.4793, 0.5653, 0.1909)
Ti (0.5207, 0.4347, 0.8091)
H (0.7657, 0.7153, 0.6282)
Ti (0.0481, 0.4569, 0.1964)
Sb (0.2500, 0.1664, 0.8336)
Ti (0.4519, 0.8036, 0.5431)
Ti (0.0207, 0.8091, 0.4347)
Ti (0.1965, 0.7823, 0.9453)
H (0.2657, 0.6282, 0.7153)
Ti (0.6965, 0.9453, 0.7823)
Ti (0.8035, 0.2177, 0.0547)
Sb (0.7500, 0.8336, 0.1664)
H (0.2343, 0.2847, 0.3718)
Ti (0.9793, 0.1909, 0.5653)
H (0.7343, 0.3718, 0.2847)
Ti (0.9519, 0.5431, 0.8036)
Ti (0.3035, 0.0547, 0.2177)
Ti (0.5481, 0.1964, 0.4569)

Calculated values
space group = No. 15
E_tot = -6.601 eV per atom


(3)
Here is Ti3SbH after structural relaxation from Alexandria. Energies are from PBE-GGA.

a b c (Å): 10.3012 7.0883 7.0883
angles (deg): 102.97 127.99 52.01
Fractional positions:
Sb (0.2500, 0.9263, 0.4263)
Ti (0.8241, 0.1436, 0.0248)
Ti (0.6088, 0.3633, 0.2108)
Sb (0.2500, 0.3987, 0.8987)
Ti (0.3912, 0.6367, 0.7892)
H (0.2240, 0.3930, 0.4461)
Ti (0.6759, 0.5248, 0.6436)
H (0.7760, 0.6070, 0.5539)
Ti (0.4927, 0.1035, 0.7369)
H (0.7240, 0.0539, 0.1070)
H (0.2760, 0.9461, 0.8930)
Sb (0.7500, 0.0737, 0.5737)
Ti (0.5073, 0.8965, 0.2631)
Ti (0.9927, 0.7631, 0.3965)
Ti (0.8912, 0.7108, 0.8633)
Sb (0.7500, 0.6013, 0.1013)
Ti (0.0073, 0.2369, 0.6035)
Ti (0.1088, 0.2892, 0.1367)
Ti (0.3241, 0.4752, 0.3564)
Ti (0.1759, 0.8564, 0.9752)

Calculated values
space group = No. 15
excess energy over the best structure of this formula in the dataset = 160.3 meV per atom
E_tot = -6.537 eV per atom


(4)
Here is Ti3SbH2 after structural relaxation from Alexandria. Energies are from PBE-GGA.

a b c (Å): 3.6171 4.5879 5.3369
angles (deg): 113.77 109.81 90.00
Fractional positions:
Ti (0.0000, 0.5000, 0.5000)
Sb (0.5000, 0.0000, 0.5000)
H (0.1986, 0.5936, 0.8973)
Ti (0.2614, 0.2559, 0.0228)
Ti (0.7386, 0.7441, 0.9772)
H (0.8014, 0.4064, 0.1027)

Calculated values
space group = No. 12
excess energy over the best structure of this formula in the dataset = 0.0 meV per atom
E_tot = -6.166 eV per atom


Q: The lowest E_tot belongs to which entry?
A: Ti6SbH2